A relaxed structure of ScTi2Pb. Source: the Alexandria database, functional PBE.

Unit cell a=7.813 b=7.813 c=6.227 alpha=51.14 beta=51.14 gamma=90.00
Atoms (fractional coordinates):
Pb 0.000 0.000 0.000
Pb 0.750 0.250 0.500
Sc 0.500 0.500 0.000
Sc 0.250 0.750 0.500
Ti 0.633 0.125 0.250
Ti 0.117 0.625 0.250
Ti 0.375 0.367 0.750
Ti 0.875 0.883 0.750

Computed properties:
Symmetry ... I-42d, No. 122
ΔH_f (0 K) ... 1.7 eV/f.u.


A relaxed structure of Nd2SeO2. Source: the Alexandria database, functional PBE.

Unit cell a=3.975 b=3.975 c=6.916 alpha=106.70 beta=106.70 gamma=90.00
Atoms (fractional coordinates):
Nd 0.654 0.654 0.308
Nd 0.346 0.346 0.692
Se 0.000 0.000 0.000
O 0.750 0.250 0.500
O 0.250 0.750 0.500

Computed properties:
ΔE_f (raw) ... -2967 meV/atom
Symmetry ... I4/mmm, No. 139


A relaxed structure of TaZnW2. Source: the Alexandria database, functional PBE.

Unit cell a=2.734 b=2.734 c=9.053 alpha=90.00 beta=90.00 gamma=106.29
Atoms (fractional coordinates):
Ta 0.500 0.500 0.750
W 0.000 0.000 0.008
W 0.000 0.000 0.492
Zn 0.500 0.500 0.250

Computed properties:
Symmetry ... Cmmm, No. 65
ΔH_f (0 K) ... 0.5 eV/f.u.


A relaxed structure of NaCuBi. Source: the Alexandria database, functional PBE.

Unit cell a=6.360 b=8.722 c=10.323 alpha=145.73 beta=135.05 gamma=28.27
Atoms (fractional coordinates):
Na 0.066 0.850 0.864
Na 0.313 0.801 0.569
Bi 0.470 0.923 0.412
Bi 0.910 0.727 0.021
Cu 0.345 0.199 0.308
Cu 0.034 0.452 0.125

Computed properties:
Offset from the most stable computed form ... 0 meV/atom
Symmetry ... P-1, No. 2
ΔH_f (0 K) ... -0.2 eV/f.u.